No. 1
Material: YMnPb2
Method: DFT, PBE-GGA
State: optimized geometry

Cell: 4.7464 4.7464 4.4481 Å, 90.00 90.00 90.00°
Last column: nearest neighbours and their distance in Å.
Positions (direct):
Y 0.0000 0.0000 0.0000  8 Pb 3.25, 4 Mn 3.36
Mn 0.5000 0.5000 0.0000  8 Pb 3.25, 4 Y 3.36
Pb 0.0000 0.5000 0.5000  4 Mn 3.25, 4 Y 3.25, 4 Pb 3.36
Pb 0.5000 0.0000 0.5000  4 Mn 3.25, 4 Y 3.25, 4 Pb 3.36

Results
N(E_F) in states/eV per atom: 0.807
Energy above the lowest structure with this stoichiometry in meV/atom: 11
Size of the total moment in μB per formula unit: 4.0
E_form in eV per formula unit: -0.141

No. 2
Material: YMnPb
Method: DFT, PBE-GGA
State: optimized geometry

Cell: 6.1968 6.1968 6.1968 Å, 146.78 146.78 47.69°
Last column: nearest neighbours and their distance in Å.
Positions (direct):
Y 0.0000 0.0000 0.0000  4 Mn 3.11, 5 Pb 3.38-3.40
Mn 0.3376 0.3376 0.0000  4 Pb 2.95, 4 Y 3.11
Pb 0.7000 0.7000 0.0000  4 Mn 2.95

Results
N(E_F) in states/eV per atom: 0.778
Size of the total moment in μB per formula unit: 3.0
E_form in eV per formula unit: 0.076

No. 3
Material: YMnPb3
Method: DFT, PBE-GGA
State: optimized geometry

Cell: 5.7915 5.7915 5.7915 Å, 90.00 90.00 90.00°
Last column: nearest neighbours and their distance in Å.
Positions (direct):
Y 0.0000 0.0000 0.0000  6 Pb 2.90
Mn 0.5000 0.5000 0.5000  12 Pb 4.10
Pb 0.0000 0.0000 0.5000  2 Y 2.90
Pb 0.0000 0.5000 0.0000  2 Y 2.90
Pb 0.5000 0.0000 0.0000  2 Y 2.90

Results
N(E_F) in states/eV per atom: 2.413
Energy above the lowest structure with this stoichiometry in meV/atom: 1069
Size of the total moment in μB per formula unit: 0.9
E_form in eV per formula unit: 7.132

No. 4
Material: YMnPb
Method: DFT, PBE-GGA
State: optimized geometry

Cell: 5.0239 5.0239 5.0239 Å, 60.00 60.00 60.00°
Last column: nearest neighbours and their distance in Å.
Positions (direct):
Y 0.0000 0.0000 0.0000  4 Pb 3.08, 4 Mn 3.08
Mn 0.2500 0.2500 0.2500  4 Y 3.08
Pb 0.7500 0.7500 0.7500  4 Y 3.08

Results
N(E_F) in states/eV per atom: 0.684
Size of the total moment in μB per formula unit: 4.6
E_form in eV per formula unit: 1.513

No. 5
Material: YMnPb
Method: DFT, PBE-GGA
State: optimized geometry

Cell: 3.4707 3.4707 7.2961 Å, 90.00 90.00 120.00°
Last column: nearest neighbours and their distance in Å.
Positions (direct):
Y 0.0000 0.0000 0.0000  3 Mn 3.03
Mn 0.3333 0.6667 0.3107  3 Y 3.03, 3 Pb 3.03
Pb 0.6667 0.3333 0.6219  3 Mn 3.03

Results
N(E_F) in states/eV per atom: 0.897
Size of the total moment in μB per formula unit: 3.3
E_form in eV per formula unit: 0.732

No. 6
Material: YMnPb2
Method: DFT, PBE-GGA
State: optimized geometry

Cell: 5.3237 5.3237 5.3237 Å, 60.00 60.00 60.00°
Last column: nearest neighbours and their distance in Å.
Positions (direct):
Y 0.0000 0.0000 0.0000  4 Mn 3.26, 4 Pb 3.26
Mn 0.7500 0.7500 0.7500  4 Pb 3.26, 4 Y 3.26
Pb 0.2500 0.2500 0.2500  4 Pb 3.26, 4 Y 3.26
Pb 0.5000 0.5000 0.5000  4 Mn 3.26, 4 Pb 3.26

Results
N(E_F) in states/eV per atom: 1.270
Energy above the lowest structure with this stoichiometry in meV/atom: 277
Size of the total moment in μB per formula unit: 3.7
E_form in eV per formula unit: 0.923

No. 7
Material: YMnPb2
Method: DFT, PBE-GGA
State: optimized geometry

Cell: 4.7453 4.7453 5.9324 Å, 111.88 111.88 57.08°
Last column: nearest neighbours and their distance in Å.
Positions (direct):
Y 0.0000 0.0000 0.0000  6 Pb 3.14-3.15
Mn 0.5000 0.5000 0.5000  6 Pb 2.89-2.94
Pb 0.2324 0.2324 0.7005  3 Mn 2.89-2.94, 3 Y 3.14-3.15
Pb 0.7676 0.7676 0.2995  3 Mn 2.89-2.94, 3 Y 3.14-3.15

Results
N(E_F) in states/eV per atom: 0.591
Energy above the lowest structure with this stoichiometry in meV/atom: 27
Size of the total moment in μB per formula unit: 3.3
E_form in eV per formula unit: -0.077

No. 8
Material: YMnPb2
Method: DFT, PBE-GGA
State: optimized geometry

Cell: 10.8818 10.8818 10.8818 Å, 156.33 156.33 33.72°
Last column: nearest neighbours and their distance in Å.
Positions (direct):
Y 0.0000 0.0000 0.0000  4 Pb 3.08, 4 Mn 3.16
Y 0.7500 0.2500 0.5000  4 Pb 3.08, 4 Mn 3.16
Mn 0.2500 0.7500 0.5000  4 Pb 3.01, 4 Y 3.16
Mn 0.5000 0.5000 0.0000  4 Pb 3.01, 4 Y 3.16
Pb 0.1476 0.6250 0.0226  2 Mn 3.01, 4 Pb 3.02-3.30, 2 Y 3.08
Pb 0.3750 0.3976 0.5226  2 Mn 3.01, 4 Pb 3.02-3.30, 2 Y 3.08
Pb 0.6024 0.1250 0.9774  2 Mn 3.01, 4 Pb 3.02-3.30, 2 Y 3.08
Pb 0.8750 0.8524 0.4774  2 Mn 3.01, 4 Pb 3.02-3.30, 2 Y 3.08

Results
N(E_F) in states/eV per atom: 1.111
Energy above the lowest structure with this stoichiometry in meV/atom: 648
Size of the total moment in μB per formula unit: 0.1
E_form in eV per formula unit: 2.408

No. 9
Material: YMnPb2
Method: DFT, PBE-GGA
State: optimized geometry

Cell: 5.8396 5.8396 5.8396 Å, 142.45 121.44 71.68°
Last column: nearest neighbours and their distance in Å.
Positions (direct):
Y 0.0000 0.0000 0.0000  8 Pb 3.22-3.56, 4 Mn 3.42
Mn 0.5000 0.5000 0.0000  4 Pb 2.83
Pb 0.2761 0.7761 0.5000  2 Mn 2.83
Pb 0.7239 0.2239 0.5000  2 Mn 2.83

Results
N(E_F) in states/eV per atom: 0.707
Energy above the lowest structure with this stoichiometry in meV/atom: 102
Size of the total moment in μB per formula unit: 2.8
E_form in eV per formula unit: 0.224

No. 10
Material: Y2MnPb2
Method: DFT, PBE-GGA
State: optimized geometry

Cell: 7.3279 7.3279 4.6674 Å, 90.00 90.00 90.00°
Last column: nearest neighbours and their distance in Å.
Positions (direct):
Y 0.1695 0.3305 0.0000  6 Pb 3.01-3.29
Y 0.3305 0.8305 0.0000  6 Pb 3.01-3.29
Y 0.6695 0.1695 0.0000  6 Pb 3.01-3.29
Y 0.8305 0.6695 0.0000  6 Pb 3.01-3.29
Mn 0.0000 0.0000 0.5000  4 Pb 2.80
Mn 0.5000 0.5000 0.5000  4 Pb 2.80
Pb 0.1470 0.6470 0.5000  2 Mn 2.80, 2 Y 3.01, 1 Pb 3.05
Pb 0.3530 0.1470 0.5000  2 Mn 2.80, 2 Y 3.01, 1 Pb 3.05
Pb 0.6470 0.8530 0.5000  2 Mn 2.80, 2 Y 3.01, 1 Pb 3.05
Pb 0.8530 0.3530 0.5000  2 Mn 2.80, 2 Y 3.01, 1 Pb 3.05

Results
N(E_F) in states/eV per atom: 1.211
Size of the total moment in μB per formula unit: 0.3
E_form in eV per formula unit: 0.114

No. 11
Material: YMnPb2
Method: DFT, PBE-GGA
State: optimized geometry

Cell: 6.0539 6.0539 6.0539 Å, 137.28 137.28 62.01°
Last column: nearest neighbours and their distance in Å.
Positions (direct):
Y 0.0000 0.0000 0.0000  8 Pb 3.12-3.40, 4 Mn 3.40
Mn 0.2500 0.7500 0.5000  8 Pb 3.12-3.40, 4 Y 3.40
Pb 0.5000 0.5000 0.0000  4 Y 3.12, 4 Mn 3.40, 4 Pb 3.40
Pb 0.7500 0.2500 0.5000  4 Mn 3.12, 4 Pb 3.40, 4 Y 3.40

Results
N(E_F) in states/eV per atom: 0.417
Energy above the lowest structure with this stoichiometry in meV/atom: 0
Size of the total moment in μB per formula unit: 4.0
E_form in eV per formula unit: -0.185

No. 12
Material: YMnPb2
Method: DFT, PBE-GGA
State: optimized geometry

Cell: 3.5407 4.6468 6.3012 Å, 90.00 97.40 90.00°
Last column: nearest neighbours and their distance in Å.
Positions (direct):
Y 0.0000 0.0000 0.0000  8 Pb 3.19-3.53, 2 Mn 3.41, 2 Y 3.54
Mn 0.5000 0.0000 0.5000  4 Pb 2.85
Pb 0.3499 0.5000 0.7376  2 Mn 2.85, 2 Y 3.19
Pb 0.6501 0.5000 0.2624  2 Mn 2.85, 2 Y 3.19

Results
N(E_F) in states/eV per atom: 0.696
Energy above the lowest structure with this stoichiometry in meV/atom: 61
Size of the total moment in μB per formula unit: 3.5
E_form in eV per formula unit: 0.061

- Which of these has the highest N(E_F)?
  YMnPb3

- Which of these has the lowest size of the total moment?
  number 8

Please write out number 3 again, unchanged.
Material: YMnPb3
Method: DFT, PBE-GGA
State: optimized geometry

Cell: 5.7915 5.7915 5.7915 Å, 90.00 90.00 90.00°
Last column: nearest neighbours and their distance in Å.
Positions (direct):
Y 0.0000 0.0000 0.0000  6 Pb 2.90
Mn 0.5000 0.5000 0.5000  12 Pb 4.10
Pb 0.0000 0.0000 0.5000  2 Y 2.90
Pb 0.0000 0.5000 0.0000  2 Y 2.90
Pb 0.5000 0.0000 0.0000  2 Y 2.90

Results
N(E_F) in states/eV per atom: 2.413
Energy above the lowest structure with this stoichiometry in meV/atom: 1069
Size of the total moment in μB per formula unit: 0.9
E_form in eV per formula unit: 7.132